Computed, not measured: a relaxed structure of Pm2Ho3Th at the PBE level of DFT.

abc: 3.390 6.587 18.051
angles: 90.00 90.00 90.00
Space group Immm (No. 71)
Inequivalent atoms, fractional coordinates:
1 Pm 0.000 0.000 0.182 [4 per cell]
2 Ho 0.000 0.500 0.152 [4 per cell]
3 Ho 0.000 0.500 0.500 [2 per cell]
4 Th 0.000 0.000 0.500 [2 per cell]

As for the energy of formation: 0.406 eV/atom. As for the calculated total energy: -4.703 eV per atom. For the density, the calculation gives 8.4 g cm⁻³.